First-principles (meta-GGA SCAN) data for a PBEsol-optimized structure of Zr2MoRh, as listed in Alexandria.

Lattice parameters (Å, degrees): 3.2742 3.2742 6.5358 90.00 90.00 90.00
Fractional coordinates of all 4 atoms:
Zr (0.0000, 0.0000, 0.2497)
Zr (0.0000, 0.0000, 0.7503)
Mo (0.5000, 0.5000, 0.0000)
Rh (0.5000, 0.5000, 0.5000)

Computed properties:
Total magnetic moment (μB/atom): 0.000
DFT formation energy (eV per atom): -0.51
SG: P4/mmm (123)